1.
# CrInOs2Se (PBE, relaxed)
data_CrInOs2Se
_chemical_formula_sum 'Cr1 In1 Os2 Se1'
_cell_length_a 4.932
_cell_length_b 4.932
_cell_length_c 5.042
_cell_angle_alpha 90.00
_cell_angle_beta 90.00
_cell_angle_gamma 90.00
_space_group_name_H-M_alt 'P 4/m m m'
_space_group_IT_number 123
_space_group_name_Hall '-P 4 2'
loop_
_atom_site_label
_atom_site_type_symbol
_atom_site_fract_x
_atom_site_fract_y
_atom_site_fract_z
_atom_site_occupancy
Cr1 Cr 0.000 0.000 0.000 1
In1 In 0.500 0.500 0.500 1
Os1 Os 0.000 0.500 0.500 1
Se1 Se 0.500 0.500 0.000 1
# ΔE_f (raw): 279.6 kJ/mol of atoms
# total magnetization: 0.802 μB/atom
# crystal system: tetragonal
# V: 24.5 Å³/atom

---

2.
# Tb15Sm4Tm (PBE, relaxed)
data_Tb15Sm4Tm
_chemical_formula_sum 'Tb15 Sm4 Tm1'
_cell_length_a 5.050
_cell_length_b 5.050
_cell_length_c 25.244
_cell_angle_alpha 90.00
_cell_angle_beta 90.00
_cell_angle_gamma 90.00
_space_group_name_H-M_alt 'P 4/m m m'
_space_group_IT_number 123
_space_group_name_Hall '-P 4 2'
loop_
_atom_site_label
_atom_site_type_symbol
_atom_site_fract_x
_atom_site_fract_y
_atom_site_fract_z
_atom_site_occupancy
Tb1 Tb 0.000 0.000 0.000 1
Tb2 Tb 0.000 0.000 0.199 1
Tb3 Tb 0.000 0.000 0.400 1
Tb4 Tb 0.000 0.500 0.099 1
Tb5 Tb 0.000 0.500 0.299 1
Tb6 Tb 0.000 0.500 0.500 1
Sm1 Sm 0.500 0.500 0.199 1
Sm2 Sm 0.500 0.500 0.400 1
Tm1 Tm 0.500 0.500 0.000 1
# total magnetization: 0.000 μB/atom
# E_form: 0.02 eV/atom
# crystal system: tetragonal
# V: 32.2 Å³/atom

---

> Which value of total magnetization does entry 2 give?

0.000 μB/atom